# PBE-GGA LiHoN, optimized geometry
data_LiHoN
_chemical_formula_sum 'Li4 Ho4 N4'
_cell_length_a 5.4999
_cell_length_b 5.4999
_cell_length_c 5.4999
_cell_angle_alpha 90.00
_cell_angle_beta 90.00
_cell_angle_gamma 90.00
_symmetry_space_group_name_H-M 'F -4 3 m'
_symmetry_Int_Tables_number 216
_symmetry_space_group_name_Hall 'F -4 2 3'
loop_
_atom_site_label
_atom_site_type_symbol
_atom_site_fract_x
_atom_site_fract_y
_atom_site_fract_z
Li1 Li 0.0000 0.0000 0.0000
Ho1 Ho 0.0000 0.0000 0.5000
N1 N 0.2500 0.2500 0.7500
# ΔE_f (raw) = -0.74 eV/atom

***

# PBE-GGA SbAsS, optimized geometry
data_SbAsS
_chemical_formula_sum 'Sb1 As1 S1'
_cell_length_a 4.0362
_cell_length_b 4.0362
_cell_length_c 4.8058
_cell_angle_alpha 90.00
_cell_angle_beta 90.00
_cell_angle_gamma 120.00
_symmetry_space_group_name_H-M 'P 3 m 1'
_symmetry_Int_Tables_number 156
loop_
_symmetry_equiv_pos_as_xyz
'x,y,z'
'-y,x-y,z'
'-x+y,-x,z'
'-y,-x,z'
'-x+y,y,z'
'x,x-y,z'
loop_
_atom_site_label
_atom_site_type_symbol
_atom_site_fract_x
_atom_site_fract_y
_atom_site_fract_z
Sb1 Sb 0.0000 0.0000 0.0000
As1 As 0.3333 0.6667 0.6823
S1 S 0.6667 0.3333 0.3460
# ΔE_f (raw) = 0.13 eV/atom
# relative energy among the computed polymorphs = 20 meV per atom

***

# PBE-GGA LiPm4Y3S8, optimized geometry
data_LiPm4Y3S8
_chemical_formula_sum 'Li3 Pm12 Y9 S24'
_cell_length_a 7.9070
_cell_length_b 7.9070
_cell_length_c 19.5151
_cell_angle_alpha 90.00
_cell_angle_beta 90.00
_cell_angle_gamma 120.00
_symmetry_space_group_name_H-M 'R -3 m'
_symmetry_Int_Tables_number 166
_symmetry_space_group_name_Hall '-R 3 2"'
loop_
_atom_site_label
_atom_site_type_symbol
_atom_site_fract_x
_atom_site_fract_y
_atom_site_fract_z
Li1 Li 0.0000 0.0000 0.0000
Pm1 Pm 0.0000 0.0000 0.5000
Pm2 Pm 0.0000 0.5000 0.5000
Y1 Y 0.0000 0.5000 0.0000
S1 S 0.0000 0.0000 0.2536
S2 S 0.0054 0.5027 0.7451
# ΔE_f (raw) = -1.98 eV/atom